VASP calculation (GGA-PBEsol) on a geometry-optimized TiMn2CdH structure.

Properties
Its density of states at the Fermi level is 4.40 states/eV/f.u. Its crystal system is tetragonal.

Structure (CIF):
```
data_TiMn2CdH
_chemical_formula_sum 'Ti1 Mn2 Cd1 H1'
_cell_length_a 3.9285
_cell_length_b 3.9285
_cell_length_c 3.8066
_cell_angle_alpha 90.00
_cell_angle_beta 90.00
_cell_angle_gamma 90.00
_space_group_name_H-M_alt 'P 4/m m m'
_space_group_IT_number 123
_space_group_name_Hall '-P 4 2'
loop_
_atom_site_label
_atom_site_fract_x
_atom_site_fract_y
_atom_site_fract_z
Ti1 0.0000 0.0000 0.0000
Mn1 0.0000 0.5000 0.5000
Cd1 0.5000 0.5000 0.0000
H1 0.0000 0.0000 0.5000
```

=====

VASP calculation (GGA-PBEsol) on a geometry-optimized Os3PbAu structure.

Properties
Its density of states at the Fermi level is 6.83 states/eV/f.u. Its crystal system is cubic. The value obtained for the formation energy is 3.39 eV/atom.

Structure (CIF):
```
data_Os3PbAu
_chemical_formula_sum 'Os3 Pb1 Au1'
_cell_length_a 4.8772
_cell_length_b 4.8772
_cell_length_c 4.8772
_cell_angle_alpha 90.00
_cell_angle_beta 90.00
_cell_angle_gamma 90.00
_space_group_name_H-M_alt 'P m -3 m'
_space_group_IT_number 221
_space_group_name_Hall '-P 4 2 3'
loop_
_atom_site_label
_atom_site_fract_x
_atom_site_fract_y
_atom_site_fract_z
Os1 0.0000 0.0000 0.5000
Pb1 0.0000 0.0000 0.0000
Au1 0.5000 0.5000 0.5000
```

=====

VASP calculation (GGA-PBEsol) on a geometry-optimized Fe2TeW structure.

Properties
Its density of states at the Fermi level is 3.95 states/eV/f.u. Its crystal system is tetragonal. As for the formation energy without anion corrections: 443.5 meV per atom.

Structure (CIF):
```
data_Fe2TeW
_chemical_formula_sum 'Fe2 Te1 W1'
_cell_length_a 3.1279
_cell_length_b 3.1279
_cell_length_c 5.9423
_cell_angle_alpha 90.00
_cell_angle_beta 90.00
_cell_angle_gamma 90.00
_space_group_name_H-M_alt 'P 4 m m'
_space_group_IT_number 99
loop_
_space_group_symop_operation_xyz
'x,y,z'
'-y,x,z'
'-x,-y,z'
'y,-x,z'
'-x,y,z'
'y,x,z'
'x,-y,z'
'-y,-x,z'
loop_
_atom_site_label
_atom_site_fract_x
_atom_site_fract_y
_atom_site_fract_z
Fe1 0.0000 0.0000 0.0000
Fe2 0.5000 0.5000 0.2041
Te1 0.0000 0.0000 0.4599
W1 0.5000 0.5000 0.7623
```

=====

VASP calculation (GGA-PBEsol) on a geometry-optimized Cs2MgGe3Se8 structure.

Properties
Its crystal system is orthorhombic. As for the formation energy without anion corrections: -699.7 meV per atom.

Structure (CIF):
```
data_Cs2MgGe3Se8
_chemical_formula_sum 'Cs8 Mg4 Ge12 Se32'
_cell_length_a 7.6297
_cell_length_b 12.7506
_cell_length_c 17.6734
_cell_angle_alpha 90.00
_cell_angle_beta 90.00
_cell_angle_gamma 90.00
_space_group_name_H-M_alt 'P 21 21 21'
_space_group_IT_number 19
loop_
_space_group_symop_operation_xyz
'x,y,z'
'-x+1/2,-y,z+1/2'
'x+1/2,-y+1/2,-z'
'-x,y+1/2,-z+1/2'
loop_
_atom_site_label
_atom_site_fract_x
_atom_site_fract_y
_atom_site_fract_z
Cs1 0.2238 0.1931 0.3484
Cs2 0.2414 0.1232 0.9467
Mg1 0.0171 0.0020 0.6523
Ge1 0.0115 0.5271 0.3466
Ge2 0.2361 0.5548 0.6780
Ge3 0.2411 0.5591 0.0181
Se1 0.0062 0.9034 0.0490
Se2 0.0086 0.1288 0.7660
Se3 0.0114 0.9115 0.2623
Se4 0.0164 0.1228 0.5346
Se5 0.2163 0.3725 0.6437
Se6 0.2321 0.3761 0.0513
Se7 0.2347 0.1353 0.1507
Se8 0.2374 0.3706 0.8424
```

=====

VASP calculation (GGA-PBEsol) on a geometry-optimized KReTc2 structure.

Properties
Its density of states at the Fermi level is 4.20 states/eV/f.u. Its crystal system is cubic. The value obtained for the formation energy is 1.54 eV/atom.

Structure (CIF):
```
data_KReTc2
_chemical_formula_sum 'K4 Re4 Tc8'
_cell_length_a 6.3105
_cell_length_b 6.3105
_cell_length_c 6.3105
_cell_angle_alpha 90.00
_cell_angle_beta 90.00
_cell_angle_gamma 90.00
_space_group_name_H-M_alt 'F -4 3 m'
_space_group_IT_number 216
_space_group_name_Hall 'F -4 2 3'
loop_
_atom_site_label
_atom_site_fract_x
_atom_site_fract_y
_atom_site_fract_z
K1 0.0000 0.0000 0.0000
Re1 0.2500 0.2500 0.7500
Tc1 0.0000 0.0000 0.5000
Tc2 0.2500 0.2500 0.2500
```

=====

VASP calculation (GGA-PBEsol) on a geometry-optimized Sm2Se3O9 structure.

Properties
Its density of states at the Fermi level is 0.00 states/eV/f.u. Its crystal system is triclinic. As for the formation energy without anion corrections: -1887.8 meV per atom.

Structure (CIF):
```
data_Sm2Se3O9
_chemical_formula_sum 'Sm4 Se6 O18'
_cell_length_a 6.9626
_cell_length_b 7.7178
_cell_length_c 8.9865
_cell_angle_alpha 71.43
_cell_angle_beta 76.59
_cell_angle_gamma 64.84
_space_group_name_H-M_alt 'P -1'
_space_group_IT_number 2
loop_
_space_group_symop_operation_xyz
'x,y,z'
'-x,-y,-z'
loop_
_atom_site_label
_atom_site_fract_x
_atom_site_fract_y
_atom_site_fract_z
Sm1 0.1310 0.3507 0.3195
Sm2 0.2781 0.6843 0.8728
Se1 0.0433 0.8325 0.2574
Se2 0.3060 0.2259 0.9592
Se3 0.3647 0.7765 0.4888
O1 0.0368 0.3337 0.5901
O2 0.1017 0.2149 0.1057
O3 0.1334 0.7968 0.6209
O4 0.1797 0.0232 0.8388
O5 0.1865 0.6631 0.1452
O6 0.1992 0.4350 0.8153
O7 0.3368 0.0115 0.4073
O8 0.4005 0.3407 0.0525
O9 0.4693 0.3198 0.3605
```

=====

VASP calculation (GGA-PBEsol) on a geometry-optimized K2TeBr structure.

Properties
Its density of states at the Fermi level is 2.82 states/eV/f.u. Its crystal system is tetragonal. As for the formation energy without anion corrections: -1107.0 meV per atom. The calculation puts the energy above the most stable polymorph in this dataset at 0.000 eV/atom.

Structure (CIF):
```
data_K2TeBr
_chemical_formula_sum 'K2 Te1 Br1'
_cell_length_a 6.0975
_cell_length_b 6.0975
_cell_length_c 3.4427
_cell_angle_alpha 90.00
_cell_angle_beta 90.00
_cell_angle_gamma 90.00
_space_group_name_H-M_alt 'P 4/m m m'
_space_group_IT_number 123
_space_group_name_Hall '-P 4 2'
loop_
_atom_site_label
_atom_site_fract_x
_atom_site_fract_y
_atom_site_fract_z
K1 0.0000 0.5000 0.0000
Te1 0.0000 0.0000 0.5000
Br1 0.5000 0.5000 0.5000
```

=====

VASP calculation (GGA-PBEsol) on a geometry-optimized LaPt3 structure.

Properties
Its density of states at the Fermi level is 2.72 states/eV/f.u. Its crystal system is orthorhombic. The value obtained for the formation energy is -0.80 eV/atom.

Structure (CIF):
```
data_LaPt3
_chemical_formula_sum 'La4 Pt12'
_cell_length_a 7.7715
_cell_length_b 7.4618
_cell_length_c 5.4129
_cell_angle_alpha 90.00
_cell_angle_beta 90.00
_cell_angle_gamma 90.00
_space_group_name_H-M_alt 'P n m a'
_space_group_IT_number 62
loop_
_space_group_symop_operation_xyz
'x,y,z'
'-x,-y,-z'
'-x+1/2,-y,z+1/2'
'x+1/2,y,-z+1/2'
'x+1/2,-y+1/2,-z+1/2'
'-x+1/2,y+1/2,z+1/2'
'-x,y+1/2,-z'
'x,-y+1/2,z'
loop_
_atom_site_label
_atom_site_fract_x
_atom_site_fract_y
_atom_site_fract_z
La1 0.0375 0.2500 0.1276
Pt1 0.1230 0.7500 0.3515
Pt2 0.1642 0.0521 0.5932
```

=====

VASP calculation (GGA-PBEsol) on a geometry-optimized TcMo2W structure.

Properties
Its density of states at the Fermi level is 4.85 states/eV/f.u. Its crystal system is tetragonal. The value obtained for the formation energy is 0.33 eV/atom. The calculation puts the energy above the most stable polymorph in this dataset at 0.290 eV/atom.

Structure (CIF):
```
data_TcMo2W
_chemical_formula_sum 'Tc2 Mo4 W2'
_cell_length_a 3.8176
_cell_length_b 3.8176
_cell_length_c 8.3762
_cell_angle_alpha 90.00
_cell_angle_beta 90.00
_cell_angle_gamma 90.00
_space_group_name_H-M_alt 'I 4/m m m'
_space_group_IT_number 139
_space_group_name_Hall '-I 4 2'
loop_
_atom_site_label
_atom_site_fract_x
_atom_site_fract_y
_atom_site_fract_z
Tc1 0.0000 0.0000 0.0000
Mo1 0.0000 0.5000 0.2500
W1 0.0000 0.0000 0.5000
```

=====

VASP calculation (GGA-PBEsol) on a geometry-optimized PbBrCl structure.

Properties
Its density of states at the Fermi level is 0.00 states/eV/f.u. Its crystal system is trigonal. As for the formation energy without anion corrections: -963.9 meV per atom. The calculation puts the energy above the most stable polymorph in this dataset at 0.047 eV/atom.

Structure (CIF):
```
data_PbBrCl
_chemical_formula_sum 'Pb1 Br1 Cl1'
_cell_length_a 4.3352
_cell_length_b 4.3352
_cell_length_c 6.0549
_cell_angle_alpha 90.00
_cell_angle_beta 90.00
_cell_angle_gamma 120.00
_space_group_name_H-M_alt 'P 3 m 1'
_space_group_IT_number 156
loop_
_space_group_symop_operation_xyz
'x,y,z'
'-y,x-y,z'
'-x+y,-x,z'
'-y,-x,z'
'-x+y,y,z'
'x,x-y,z'
loop_
_atom_site_label
_atom_site_fract_x
_atom_site_fract_y
_atom_site_fract_z
Pb1 0.0000 0.0000 0.0000
Br1 0.3333 0.6667 0.7212
Cl1 0.6667 0.3333 0.2393
```

=====

VASP calculation (GGA-PBEsol) on a geometry-optimized ZrNb3Cd structure.

Properties
Its density of states at the Fermi level is 10.28 states/eV/f.u. Its crystal system is cubic. The value obtained for the formation energy is 1.81 eV/atom.

Structure (CIF):
```
data_ZrNb3Cd
_chemical_formula_sum 'Zr1 Nb3 Cd1'
_cell_length_a 4.9331
_cell_length_b 4.9331
_cell_length_c 4.9331
_cell_angle_alpha 90.00
_cell_angle_beta 90.00
_cell_angle_gamma 90.00
_space_group_name_H-M_alt 'P m -3 m'
_space_group_IT_number 221
_space_group_name_Hall '-P 4 2 3'
loop_
_atom_site_label
_atom_site_fract_x
_atom_site_fract_y
_atom_site_fract_z
Zr1 0.0000 0.0000 0.0000
Nb1 0.0000 0.5000 0.5000
Cd1 0.5000 0.5000 0.5000
```

=====

VASP calculation (GGA-PBEsol) on a geometry-optimized LaCoPO structure.

Properties
Its density of states at the Fermi level is 1.15 states/eV/f.u. Its crystal system is tetragonal. As for the formation energy without anion corrections: -2018.2 meV per atom.

Structure (CIF):
```
data_LaCoPO
_chemical_formula_sum 'La2 Co2 P2 O2'
_cell_length_a 3.8909
_cell_length_b 3.8909
_cell_length_c 8.3423
_cell_angle_alpha 90.00
_cell_angle_beta 90.00
_cell_angle_gamma 90.00
_space_group_name_H-M_alt 'P 4/n m m'
_space_group_IT_number 129
loop_
_space_group_symop_operation_xyz
'x,y,z'
'-x,-y,-z'
'-y+1/2,x,z'
'y+1/2,-x,-z'
'-x+1/2,-y+1/2,z'
'x+1/2,y+1/2,-z'
'y,-x+1/2,z'
'-y,x+1/2,-z'
'x+1/2,-y,-z'
'-x+1/2,y,z'
'-y,-x,-z'
'y,x,z'
'-x,y+1/2,-z'
'x,-y+1/2,z'
'y+1/2,x+1/2,-z'
'-y+1/2,-x+1/2,z'
loop_
_atom_site_label
_atom_site_fract_x
_atom_site_fract_y
_atom_site_fract_z
La1 0.2500 0.2500 0.1530
Co1 0.2500 0.7500 0.5000
P1 0.2500 0.2500 0.6273
O1 0.2500 0.7500 0.0000
```

=====

So what do the calculations give for volume? Going down the list: 59, 116, 58, 1719, 251, 412, 128, 314, 122, 99, 120, 126 Å³ per cell.
So what do the calculations give for raw total energy? Going down the list: -6.408, -5.523, -8.372, -4.215, -7.705, -6.815, -3.023, -7.355, -11.827, -3.589, -6.744, -8.049 eV/atom.
So what do the calculations give for ρ? Going down the list: 7.7, 14.0, 12.1, 4.4, 11.1, 5.5, 3.7, 15.3, 12.9, 5.4, 6.7, 6.4 g/cm3.